{
  "formula": "Ac2Zn3Ga4",
  "functional": "PBE",
  "state": "optimized geometry",
  "lattice": [[3.0150, -8.0253, 0.0000], [3.0150, 8.0253, 0.0000], [0.0000, 0.0000, 8.1764]],
  "species": ["Ac", "Ac", "Ac", "Ac", "Zn", "Zn", "Zn", "Zn", "Zn", "Zn", "Ga", "Ga", "Ga", "Ga", "Ga", "Ga", "Ga", "Ga"],
  "fractional_positions": [[0.1121, 0.8879, 0.9049], [0.3879, 0.6121, 0.4049], [0.6121, 0.3879, 0.5951], [0.8879, 0.1121, 0.0951], [0.0000, 0.0000, 0.5000], [0.0296, 0.4704, 0.7500], [0.4704, 0.0296, 0.2500], [0.5000, 0.5000, 0.0000], [0.5296, 0.9704, 0.7500], [0.9704, 0.5296, 0.2500], [0.1789, 0.8211, 0.5061], [0.1911, 0.3089, 0.7500], [0.3089, 0.1911, 0.2500], [0.3211, 0.6789, 0.0061], [0.6789, 0.3211, 0.9939], [0.6911, 0.8089, 0.7500], [0.8089, 0.6911, 0.2500], [0.8211, 0.1789, 0.4939]],
  "dft_energy_ev_per_atom": -3.04,
  "delta_e_f_ev_per_atom": -0.354,
  "magmom_total_mub_per_fu": 0.00,
  "mass_density_g_cm3": 7.8
}

{
  "formula": "ErTm2Pb",
  "functional": "PBE",
  "state": "optimized geometry",
  "lattice": [[3.6063, 0.0000, 0.0000], [0.0000, 3.6063, 0.0000], [0.0000, 0.0000, 9.0239]],
  "species": ["Er", "Tm", "Tm", "Pb"],
  "fractional_positions": [[0.0000, 0.0000, 0.0000], [0.5000, 0.5000, 0.2622], [0.5000, 0.5000, 0.7378], [0.0000, 0.0000, 0.5000]],
  "dft_energy_ev_per_atom": -4.51,
  "e_above_lowest_polymorph_mev_per_atom": 59,
  "delta_e_f_ev_per_atom": -0.202,
  "magmom_total_mub_per_fu": 0.00,
  "mass_density_g_cm3": 10.1
}

{
  "formula": "NaSb2TeW",
  "functional": "PBE",
  "state": "optimized geometry",
  "lattice": [[5.2801, 0.0000, 0.0000], [0.0000, 5.2801, 0.0000], [0.0000, 0.0000, 5.5802]],
  "species": ["Na", "Sb", "Sb", "Te", "W"],
  "fractional_positions": [[0.0000, 0.0000, 0.0000], [0.0000, 0.5000, 0.5000], [0.5000, 0.0000, 0.5000], [0.5000, 0.5000, 0.0000], [0.5000, 0.5000, 0.5000]],
  "dft_energy_ev_per_atom": -4.76,
  "e_above_lowest_polymorph_mev_per_atom": 0,
  "magmom_total_mub_per_fu": 0.00,
  "formation_energy_uncorrected_ev_per_atom": 0.37,
  "mass_density_g_cm3": 6.2
}